[1]
Computed, not measured: a relaxed structure of Sm3DyTm4 at the PBE level of DFT.

Summary:
ΔE to the lowest computed polymorph (meV/atom): 124.6
Calculated volume (Å³/cell): 257.2
DOS(E_F) (states/eV/f.u.): 12.9

abc: 3.4561 8.8147 8.8199
angles: 81.86 78.77 79.05
Fractional positions:
Sm: 0.0000 0.0000 0.0000
Sm: 0.2439 0.2561 0.2560
Sm: 0.7561 0.7439 0.7440
Dy: 0.5000 0.5000 0.5000
Tm: 0.3605 0.8808 0.3895
Tm: 0.3632 0.3899 0.8806
Tm: 0.6368 0.6101 0.1194
Tm: 0.6395 0.1192 0.6105



[2]
Computed, not measured: a relaxed structure of Sm2Dy8Tm3 at the PBE level of DFT.

Summary:
ΔE to the lowest computed polymorph (meV/atom): 0.0
Calculated volume (Å³/cell): 833.4
DOS(E_F) (states/eV/f.u.): 17.2

abc: 3.5412 12.1698 19.3381
angles: 90.00 90.02 90.00
Fractional positions:
Sm: 0.0010 0.1679 0.1290
Sm: 0.0010 0.3321 0.6290
Sm: 0.9990 0.6679 0.3710
Sm: 0.9990 0.8321 0.8710
Dy: 0.0002 0.0167 0.5834
Dy: 0.0002 0.4833 0.0834
Dy: 0.9998 0.5167 0.9166
Dy: 0.9998 0.9833 0.4166
Dy: 0.0009 0.1212 0.8627
Dy: 0.0009 0.3788 0.3627
Dy: 0.4993 0.6487 0.2023
Dy: 0.4995 0.7111 0.0189
Dy: 0.4995 0.7889 0.5189
Dy: 0.4993 0.8513 0.7023
Dy: 0.5007 0.1487 0.2977
Dy: 0.5005 0.2111 0.4811
Dy: 0.5005 0.2889 0.9811
Dy: 0.5007 0.3513 0.7977
Dy: 0.9991 0.6212 0.6373
Dy: 0.9991 0.8788 0.1373
Tm: 0.4988 0.6244 0.7881
Tm: 0.4988 0.8756 0.2881
Tm: 0.5000 0.0000 0.0000
Tm: 0.5000 0.5000 0.5000
Tm: 0.5012 0.1244 0.7119
Tm: 0.5012 0.3756 0.2119



[3]
Computed, not measured: a relaxed structure of Sm2DyTm7 at the PBE level of DFT.

Summary:
ΔE to the lowest computed polymorph (meV/atom): 0.0
Calculated volume (Å³/cell): 308.3
DOS(E_F) (states/eV/f.u.): 13.9

abc: 6.0884 7.0456 7.8653
angles: 77.19 74.99 73.38
Fractional positions:
Sm: 0.2007 0.2991 0.1010
Sm: 0.7993 0.7009 0.8990
Dy: 0.0000 0.0000 0.5000
Tm: 0.0000 0.5000 0.5000
Tm: 0.1999 0.7998 0.1009
Tm: 0.3997 0.1006 0.6982
Tm: 0.4000 0.6003 0.6990
Tm: 0.6000 0.3997 0.3010
Tm: 0.6003 0.8994 0.3018
Tm: 0.8001 0.2002 0.8991



[4]
Computed, not measured: a relaxed structure of Sm8Dy6Tm at the PBE level of DFT.

Summary:
ΔE to the lowest computed polymorph (meV/atom): 52.5
Calculated volume (Å³/cell): 497.6
DOS(E_F) (states/eV/f.u.): 23.0

abc: 9.3868 9.3868 6.5215
angles: 90.00 90.00 120.00
Fractional positions:
Sm: 0.0345 0.7513 0.3327
Sm: 0.2487 0.2832 0.3327
Sm: 0.2832 0.0345 0.6673
Sm: 0.3333 0.6667 0.3785
Sm: 0.6667 0.3333 0.6215
Sm: 0.7168 0.9655 0.3327
Sm: 0.7513 0.7168 0.6673
Sm: 0.9655 0.2487 0.6673
Dy: 0.0919 0.6543 0.8395
Dy: 0.3457 0.4377 0.8395
Dy: 0.4377 0.0919 0.1605
Dy: 0.5623 0.9081 0.8395
Dy: 0.6543 0.5623 0.1605
Dy: 0.9081 0.3457 0.1605
Tm: 0.0000 0.0000 0.0000



[5]
Computed, not measured: a relaxed structure of Sm5Dy2Tm3 at the PBE level of DFT.

Summary:
ΔE to the lowest computed polymorph (meV/atom): 199.9
Calculated volume (Å³/cell): 689.1
DOS(E_F) (states/eV/f.u.): 14.9

abc: 9.8659 9.8659 9.8659
angles: 123.40 93.26 113.12
Fractional positions:
Sm: 0.0024 0.7500 0.2524
Sm: 0.1271 0.1004 0.2274
Sm: 0.2500 0.2500 0.0000
Sm: 0.3729 0.6004 0.9733
Sm: 0.4976 0.7500 0.7476
Sm: 0.5024 0.2500 0.2524
Sm: 0.6271 0.3996 0.0267
Sm: 0.7500 0.7500 0.0000
Sm: 0.8729 0.8996 0.7726
Sm: 0.9976 0.2500 0.7476
Dy: 0.1208 0.4090 0.5298
Dy: 0.3792 0.9090 0.2881
Dy: 0.6208 0.0911 0.7119
Dy: 0.8792 0.5910 0.4702
Tm: 0.1241 0.7506 0.8747
Tm: 0.2500 0.7500 0.5000
Tm: 0.3759 0.2506 0.6265
Tm: 0.6241 0.7494 0.3735
Tm: 0.7500 0.2500 0.5000
Tm: 0.8759 0.2494 0.1253



[6]
Computed, not measured: a relaxed structure of Sm7Dy2Tm at the PBE level of DFT.

Summary:
Calculated volume (Å³/cell): 402.5
DOS(E_F) (states/eV/f.u.): 14.1

abc: 9.5019 9.5019 5.4536
angles: 90.00 90.00 125.16
Fractional positions:
Sm: 0.0000 0.0000 0.0000
Sm: 0.2110 0.4319 0.0000
Sm: 0.2942 0.7058 0.5000
Sm: 0.4319 0.2110 0.0000
Sm: 0.5681 0.7890 0.0000
Sm: 0.7058 0.2942 0.5000
Sm: 0.7890 0.5681 0.0000
Dy: 0.2046 0.7954 0.0000
Dy: 0.7954 0.2046 0.0000
Tm: 0.5000 0.5000 0.5000



[7]
Computed, not measured: a relaxed structure of Sm4Dy7Tm at the PBE level of DFT.

Summary:
ΔE to the lowest computed polymorph (meV/atom): 0.0
Calculated volume (Å³/cell): 388.7
DOS(E_F) (states/eV/f.u.): 18.8

abc: 6.5199 6.8085 9.0708
angles: 85.72 77.24 82.22
Fractional positions:
Sm: 0.1389 0.3092 0.2826
Sm: 0.3413 0.8827 0.6928
Sm: 0.6587 0.1173 0.3072
Sm: 0.8611 0.6908 0.7174
Dy: 0.0113 0.2532 0.9490
Dy: 0.1836 0.8012 0.3597
Dy: 0.3106 0.3933 0.6156
Dy: 0.5000 0.0000 0.0000
Dy: 0.6894 0.6067 0.3844
Dy: 0.8164 0.1988 0.6403
Dy: 0.9887 0.7468 0.0510
Tm: 0.5000 0.5000 0.0000



[8]
Computed, not measured: a relaxed structure of Sm2Dy9Tm at the PBE level of DFT.

Summary:
ΔE to the lowest computed polymorph (meV/atom): 0.0
Calculated volume (Å³/cell): 380.1
DOS(E_F) (states/eV/f.u.): 18.4

abc: 5.0230 5.0230 15.0644
angles: 90.00 90.00 90.00
Fractional positions:
Sm: 0.0000 0.0000 0.1675
Sm: 0.0000 0.0000 0.8325
Dy: 0.0000 0.5000 0.0000
Dy: 0.0000 0.5000 0.3353
Dy: 0.0000 0.5000 0.6647
Dy: 0.5000 0.0000 0.0000
Dy: 0.5000 0.0000 0.3353
Dy: 0.5000 0.0000 0.6647
Dy: 0.5000 0.5000 0.1679
Dy: 0.5000 0.5000 0.5000
Dy: 0.5000 0.5000 0.8321
Tm: 0.0000 0.0000 0.5000



ΔH_f (0 K) / meV per atom: 140.1 73.7 23.9 175.6 393.6 659.1 88.8 21.3